This record from Alexandria via LeMat-Bulk describes a geometry-optimized CePrS2 structure. The functional is PBE.

POSCAR file:
```
CePrS2
1.0
-2.877 2.877 5.749
2.877 -2.877 5.749
2.877 2.877 -5.749
Ce Pr S
2 2 4
direct
0.375 0.625 0.750 Ce
0.625 0.375 0.250 Ce
0.125 0.875 0.250 Pr
0.875 0.125 0.750 Pr
0.127 0.377 0.750 S
0.377 0.127 0.250 S
0.623 0.873 0.750 S
0.873 0.623 0.250 S
```

Properties
space group	I4_1/amd
total DFT energy (no corrections)	-54.20	eV for the cell shown
N(E_F)	1.438	states/eV/atom